(1)
The following is a DFT calculation (PBE-GGA) of Ca2HfTeO6 after structural relaxation.

a b c (Å): 4.585 5.826 5.826
angles (deg): 90.00 90.00 90.00
Atoms (fractional coordinates):
1 O 0.715 0.242 0.242
2 Ca 0.989 0.000 0.500
3 Hf 0.602 0.000 0.000
4 Te 0.624 0.500 0.500
5 O 0.715 0.242 0.758
6 O 0.205 0.500 0.500
7 O 0.715 0.758 0.758
8 O 0.180 0.000 0.000
9 Ca 0.989 0.500 0.000
10 O 0.715 0.758 0.242

Results
- Calculated total energy: -7.13 eV/atom
- Uncorrected formation energy: -2443 meV per atom


(2)
The following is a DFT calculation (PBE-GGA) of Al2Si4Ni after structural relaxation.

a b c (Å): 3.627 3.627 21.589
angles (deg): 90.00 90.00 120.01
Atoms (fractional coordinates):
1 Si 0.667 0.333 0.216
2 Al 0.000 0.000 0.715
3 Si 0.333 0.667 0.576
4 Si 0.667 0.333 0.640
5 Si 0.333 0.667 0.360
6 Si 0.667 0.333 0.424
7 Ni 0.333 0.667 0.466
8 Si 0.667 0.333 0.970
9 Al 0.000 0.000 0.285
10 Si 0.333 0.667 0.030
11 Si 0.333 0.667 0.784
12 Al 0.667 0.333 0.103
13 Ni 0.667 0.333 0.534
14 Al 0.333 0.667 0.897

Results
- Calculated total energy: -4.82 eV/atom
- Uncorrected formation energy: 172 meV per atom


(3)
The following is a DFT calculation (PBE-GGA) of NiOsRu2 after structural relaxation.

a b c (Å): 8.737 8.737 8.737
angles (deg): 17.78 17.78 17.78
Atoms (fractional coordinates):
1 Ru 0.999 0.999 0.999
2 Ni 0.250 0.250 0.250
3 Ru 0.501 0.501 0.501
4 Os 0.750 0.750 0.750

Results
- Calculated total energy: -8.72 eV/atom
- Formation energy from the elements: 172 meV/atom


> What is the formula in the first record?

Ca2HfTeO6


> What is the formula in the first record?

Ca2HfTeO6